Material: RuO3
Method: DFT, PBE
State: relaxed

Volume (Å³/atom): 10.968
ρ (Mg/m³): 5.64
Formation energy without anion corrections (eV/atom): -0.703
Total DFT energy (no corrections) (eV for the cell shown): -53.93

```
data_RuO3
_chemical_formula_sum 'Ru2 O6'
_space_group_name_H-M_alt 'P 1'
_space_group_IT_number 1
_space_group_name_Hall 'P 1'
_cell_length_a 4.391
_cell_length_b 4.804
_cell_length_c 4.804
_cell_angle_alpha 120.00
_cell_angle_beta 90.00
_cell_angle_gamma 90.00
loop_
_atom_site_label
_atom_site_fract_x
_atom_site_fract_y
_atom_site_fract_z
Ru1 0.224 0.667 0.333
O1 0.474 0.650 0.650
O2 0.474 0.350 0.000
Ru2 0.724 0.333 0.667
O3 0.974 0.650 0.000
O4 0.974 0.000 0.650
O5 0.974 0.350 0.350
O6 0.474 0.000 0.350
```